DFT (GGA-PBE) results for an optimized crystal structure of LiAcPr.

Properties
SG = No. 216
energy above the lowest structure with this stoichiometry = 0 meV per atom

Unit cell a=5.358 b=5.358 c=5.358 alpha=60.00 beta=60.00 gamma=60.00
Sites, in units of the cell vectors:
Li: 0.000 0.000 0.000
Ac: 0.750 0.750 0.750
Pr: 0.250 0.250 0.250